No. 1
Computed, not measured: crystalline CrReN3 at its relaxed geometry at the PBE level of DFT.

The space group is Pm-3m (No. 221) and the conventional cell measures 3.668, 3.668 and 3.668 Å, with angles of 90.00, 90.00 and 90.00 degrees. The distinct sites, in fractional coordinates, are Cr at (0.000, 0.000, 0.000), Re at (0.500, 0.500, 0.500) and N at (0.000, 0.000, 0.500).

As for the total energy: -8.14 eV per atom.

=====

No. 2
Computed, not measured: crystalline PuGaHgPt at its relaxed geometry at the PBE level of DFT.

The space group is F-43m (No. 216) and the conventional cell measures 6.911, 6.911 and 6.911 Å, with angles of 90.00, 90.00 and 90.00 degrees. The distinct sites, in fractional coordinates, are Pu at (0.000, 0.000, 0.000), Ga at (0.250, 0.250, 0.250), Hg at (0.000, 0.000, 0.500) and Pt at (0.250, 0.250, 0.750).

The formation energy is -1.26 eV per formula unit.

=====

No. 3
Computed, not measured: crystalline Ce6AlOs at its relaxed geometry at the PBE level of DFT.

The space group is C2/m (No. 12) and the conventional cell measures 7.191, 10.712 and 6.111 Å, with angles of 90.00, 122.72 and 90.00 degrees. The distinct sites, in fractional coordinates, are Ce at (0.202, 0.232, 0.249), Ce at (0.219, 0.000, 0.763), Al at (0.000, 0.500, 0.500) and Os at (0.000, 0.000, 0.000).

The formation energy is 0.48 eV per formula unit.

=====

No. 4
Computed, not measured: crystalline Ca2CeCu2O6 at its relaxed geometry at the PBE level of DFT.

The space group is P-31m (No. 162) and the conventional cell measures 5.5101, 5.5101 and 5.5681 Å, with angles of 90.00, 90.00 and 120.00 degrees. The distinct sites, in fractional coordinates, are Ca at (0.3333, 0.6667, 0.0000), Ce at (0.0000, 0.0000, 0.5000), Cu at (0.3333, 0.6667, 0.5000) and O at (0.0000, 0.3557, 0.7183).

As for the total energy: -6.41 eV per atom.

=====

No. 5
Computed, not measured: crystalline ZrCr2Te at its relaxed geometry at the PBE level of DFT.

The space group is C2/m (No. 12) and the conventional cell measures 5.848, 9.193 and 3.236 Å, with angles of 90.00, 120.89 and 90.00 degrees. The distinct sites, in fractional coordinates, are Zr at (0.000, 0.000, 0.000), Cr at (0.250, 0.250, 0.500) and Te at (0.000, 0.500, 0.000).

As for the total energy: -7.30 eV per atom.

=====

No. 6
Computed, not measured: crystalline Na2Np3CuS6 at its relaxed geometry at the PBE level of DFT.

The space group is C2/m (No. 12) and the conventional cell measures 6.917, 11.951 and 6.699 Å, with angles of 90.00, 110.67 and 90.00 degrees. The distinct sites, in fractional coordinates, are Na at (0.000, 0.166, 0.000), Np at (0.000, 0.000, 0.500), Np at (0.000, 0.332, 0.500), Cu at (0.000, 0.500, 0.000), S at (0.241, 0.500, 0.737) and S at (0.246, 0.338, 0.257).

As for the total energy: -7.00 eV per atom.

=====

No. 7
Computed, not measured: crystalline KYbC2O6 at its relaxed geometry at the PBE level of DFT.

The space group is C2/c (No. 15) and the conventional cell measures 8.486, 9.792 and 7.077 Å, with angles of 90.00, 110.26 and 90.00 degrees. The distinct sites, in fractional coordinates, are K at (0.000, 0.123, 0.250), Yb at (0.000, 0.406, 0.750), C at (0.230, 0.374, 0.249), O at (0.085, 0.382, 0.102), O at (0.178, 0.233, 0.729) and O at (0.228, 0.025, 0.627).

As for the total energy: -7.03 eV per atom.

=====

No. 8
Computed, not measured: crystalline In3SbRh at its relaxed geometry at the PBE level of DFT.

The space group is Pm-3m (No. 221) and the conventional cell measures 5.151, 5.151 and 5.151 Å, with angles of 90.00, 90.00 and 90.00 degrees. The distinct sites, in fractional coordinates, are In at (0.000, 0.000, 0.500), Sb at (0.500, 0.500, 0.500) and Rh at (0.000, 0.000, 0.000).

As for the excess energy over the best structure of this formula in the dataset: 0 meV/atom.

=====

| no. | magnetization (μB per formula unit) | DOS(E_F) (states/eV/atom) | V (Å³ per cell) |
| --- | --- | --- | --- |
| 1 | 1.67 | 0.7928 | 49.4 |
| 2 | 5.28 | 2.1662 | 330.0 |
| 3 | 0.00 | 2.2906 | 396.0 |
| 4 | 2.01 | 0.6999 | 146.4 |
| 5 | 4.72 | 1.1654 | 149.3 |
| 6 | 12.00 | 2.3221 | 518.1 |
| 7 | 1.05 | 1.0434 | 551.7 |
| 8 | 0.00 | 0.8478 | 136.7 |